Computed, not measured: a relaxed structure of AcLaCo at the GGA-PBE level of DFT.

Summary:
The formation energy is 71.7 meV per atom. The size of the total moment is 0.142 μB per cell. Its total energy is -0.1951 Ha/atom.

```
data_AcLaCo
_chemical_formula_sum 'Ac2 La2 Co2'
_cell_length_a 3.623
_cell_length_b 3.623
_cell_length_c 13.666
_cell_angle_alpha 90.00
_cell_angle_beta 90.00
_cell_angle_gamma 90.00
_space_group_name_H-M_alt 'I 4 m m'
_space_group_IT_number 107
_space_group_name_Hall 'I 4 -2'
loop_
_atom_site_label
_atom_site_type_symbol
_atom_site_fract_x
_atom_site_fract_y
_atom_site_fract_z
_atom_site_occupancy
Ac1 Ac 0.000 0.000 0.000 1
La1 La 0.000 0.000 0.756 1
Co1 Co 0.000 0.000 0.369 1
```